# 1
A plane-wave DFT calculation with PBE was carried out for LaMoCl3 after structural relaxation.

a = 5.6050 Å, b = 5.6050 Å, c = 5.6050 Å
α = 90.00°, β = 90.00°, γ = 90.00°
With the nearest neighbours (Å) after each atom.
Sites, in units of the cell vectors:
1 La 0.0000 0.0000 0.0000  6 Cl 2.80
2 Mo 0.5000 0.5000 0.5000  12 Cl 3.96
3 Cl 0.0000 0.0000 0.5000  2 La 2.80
4 Cl 0.0000 0.5000 0.0000  2 La 2.80
5 Cl 0.5000 0.0000 0.0000  2 La 2.80

formation energy from raw total energies = -3.218 eV per formula unit
DOS at the Fermi energy = 0.000 states/eV/atom
distance to the lowest polymorph of the same formula = 0.000 eV per atom
spin magnetization = 6.000 Bohr magnetons per cell
space-group type = Pm-3m (221)

***

# 2
A plane-wave DFT calculation with PBE was carried out for CrPPb after structural relaxation.

a = 4.5176 Å, b = 4.5176 Å, c = 4.5176 Å
α = 60.00°, β = 60.00°, γ = 60.00°
With the nearest neighbours (Å) after each atom.
Sites, in units of the cell vectors:
1 Cr 0.0000 0.0000 0.0000  4 Pb 2.77, 4 P 2.77
2 P 0.7500 0.7500 0.7500  4 Cr 2.77
3 Pb 0.2500 0.2500 0.2500  4 Cr 2.77

DOS at the Fermi energy = 0.676 states/eV/atom
distance to the lowest polymorph of the same formula = 0.365 eV per atom
spin magnetization = 3.874 Bohr magnetons per cell
space-group type = F-43m (216)
E_form = 0.46 eV per atom

***

# 3
A plane-wave DFT calculation with PBE was carried out for InTeH2Au after structural relaxation.

a = 3.9523 Å, b = 3.9523 Å, c = 6.4049 Å
α = 90.00°, β = 90.00°, γ = 90.00°
With the nearest neighbours (Å) after each atom.
Sites, in units of the cell vectors:
1 In 0.0000 0.0000 0.0000  4 Au 2.79
2 Te 0.0000 0.0000 0.5000  4 H 1.98
3 H 0.0000 0.5000 0.5000  2 Te 1.98
4 H 0.5000 0.0000 0.5000  2 Te 1.98
5 Au 0.5000 0.5000 0.0000  4 In 2.79

DOS at the Fermi energy = 0.190 states/eV/atom
spin magnetization = 0.000 Bohr magnetons per cell
space-group type = P4/mmm (123)
final energy = -2.974 eV/atom

***

# 4
A plane-wave DFT calculation with PBE was carried out for Sr2Li3ScF12 after structural relaxation.

a = 7.5500 Å, b = 7.5500 Å, c = 7.5500 Å
α = 50.30°, β = 50.30°, γ = 50.30°
With the nearest neighbours (Å) after each atom.
Sites, in units of the cell vectors:
1 Sr 0.1121 0.1121 0.1121  6 F 2.49-2.55
2 Sr 0.8879 0.8879 0.8879  6 F 2.49-2.55
3 Li 0.0000 0.5000 0.5000  4 F 1.93
4 Li 0.5000 0.0000 0.5000  4 F 1.93
5 Li 0.5000 0.5000 0.0000  4 F 1.93
6 Sc 0.5000 0.5000 0.5000  6 F 2.10
7 F 0.1091 0.6366 0.6366  1 Sc 2.10
8 F 0.2188 0.2188 0.6751  2 Li 1.93
9 F 0.2188 0.6751 0.2188  2 Li 1.93
10 F 0.3249 0.7812 0.7812  2 Li 1.93
11 F 0.3634 0.3634 0.8909  1 Sc 2.10
12 F 0.3634 0.8909 0.3634  1 Sc 2.10
13 F 0.6366 0.1091 0.6366  1 Sc 2.10
14 F 0.6366 0.6366 0.1091  1 Sc 2.10
15 F 0.6751 0.2188 0.2188  2 Li 1.93
16 F 0.7812 0.3249 0.7812  2 Li 1.93
17 F 0.7812 0.7812 0.3249  2 Li 1.93
18 F 0.8909 0.3634 0.3634  1 Sc 2.10

formation energy from raw total energies = -53.766 eV per formula unit
DOS at the Fermi energy = 0.736 states/eV/atom
spin magnetization = 2.063 Bohr magnetons per cell
space-group type = R-3m (166)

***

# 5
A plane-wave DFT calculation with PBE was carried out for Tm12InAu6 after structural relaxation.

a = 8.6380 Å, b = 8.6380 Å, c = 8.6380 Å
α = 109.47°, β = 109.47°, γ = 109.47°
With the nearest neighbours (Å) after each atom.
Sites, in units of the cell vectors:
1 Tm 0.1061 0.8162 0.2900  1 Au 2.74
2 Tm 0.1838 0.2900 0.4738  1 Au 2.74
3 Tm 0.1838 0.7100 0.8939  1 Au 2.74
4 Tm 0.2900 0.1061 0.8162  1 Au 2.74
5 Tm 0.2900 0.4738 0.1838  1 Au 2.74
6 Tm 0.4738 0.1838 0.2900  1 Au 2.74
7 Tm 0.5262 0.8162 0.7100  1 Au 2.74
8 Tm 0.7100 0.5262 0.8162  1 Au 2.74
9 Tm 0.7100 0.8939 0.1838  1 Au 2.74
10 Tm 0.8162 0.2900 0.1061  1 Au 2.74
11 Tm 0.8162 0.7100 0.5262  1 Au 2.74
12 Tm 0.8939 0.1838 0.7100  1 Au 2.74
13 In 0.0000 0.0000 0.0000  12 Tm 3.42
14 Au 0.1394 0.6394 0.5000  2 Tm 2.74, 1 Au 2.78
15 Au 0.3606 0.5000 0.8606  2 Tm 2.74, 1 Au 2.78
16 Au 0.5000 0.1394 0.6394  2 Tm 2.74, 1 Au 2.78
17 Au 0.5000 0.8606 0.3606  2 Tm 2.74, 1 Au 2.78
18 Au 0.6394 0.5000 0.1394  2 Tm 2.74, 1 Au 2.78
19 Au 0.8606 0.3606 0.5000  2 Tm 2.74, 1 Au 2.78

DOS at the Fermi energy = 0.437 states/eV/atom
distance to the lowest polymorph of the same formula = 0.000 eV per atom
spin magnetization = 0.000 Bohr magnetons per cell
space-group type = Im-3 (204)
E_form = -0.57 eV per atom

***

# 6
A plane-wave DFT calculation with PBE was carried out for LaMgIn2Co after structural relaxation.

a = 4.9502 Å, b = 4.9502 Å, c = 4.8583 Å
α = 90.00°, β = 90.00°, γ = 90.00°
With the nearest neighbours (Å) after each atom.
Sites, in units of the cell vectors:
1 La 0.0000 0.0000 0.0000  8 In 3.47, 4 Mg 3.50
2 Mg 0.5000 0.5000 0.0000  2 Co 2.43
3 In 0.0000 0.5000 0.5000  2 Co 2.48
4 In 0.5000 0.0000 0.5000  2 Co 2.48
5 Co 0.5000 0.5000 0.5000  2 Mg 2.43, 4 In 2.48

DOS at the Fermi energy = 0.423 states/eV/atom
spin magnetization = 0.000 Bohr magnetons per cell
space-group type = P4/mmm (123)
E_form = -0.22 eV per atom

***

# 7
A plane-wave DFT calculation with PBE was carried out for NbCrPd2 after structural relaxation.

a = 4.5039 Å, b = 4.5039 Å, c = 4.5039 Å
α = 60.00°, β = 60.00°, γ = 60.00°
With the nearest neighbours (Å) after each atom.
Sites, in units of the cell vectors:
1 Nb 0.0000 0.0000 0.0000  8 Pd 2.76
2 Cr 0.5000 0.5000 0.5000  8 Pd 2.76
3 Pd 0.2500 0.2500 0.2500  4 Cr 2.76, 4 Nb 2.76
4 Pd 0.7500 0.7500 0.7500  4 Cr 2.76, 4 Nb 2.76

DOS at the Fermi energy = 1.311 states/eV/atom
distance to the lowest polymorph of the same formula = 0.000 eV per atom
spin magnetization = 3.674 Bohr magnetons per cell
space-group type = Fm-3m (225)
E_form = 0.01 eV per atom

***

# 8
A plane-wave DFT calculation with PBE was carried out for CoCu2Pt2 after structural relaxation.

a = 7.1307 Å, b = 7.1307 Å, c = 2.8546 Å
α = 90.00°, β = 90.00°, γ = 90.00°
With the nearest neighbours (Å) after each atom.
Sites, in units of the cell vectors:
1 Co 0.0000 0.0000 0.0000  4 Pt 2.75, 2 Co 2.85, 8 Cu 3.04
2 Co 0.5000 0.5000 0.0000  4 Pt 2.75, 2 Co 2.85, 8 Cu 3.04
3 Cu 0.1578 0.3422 0.5000  6 Pt 2.48-2.57
4 Cu 0.3422 0.8422 0.5000  6 Pt 2.48-2.57
5 Cu 0.6578 0.1578 0.5000  6 Pt 2.48-2.57
6 Cu 0.8422 0.6578 0.5000  6 Pt 2.48-2.57
7 Pt 0.1411 0.6411 0.0000  6 Cu 2.48-2.57, 2 Co 2.75
8 Pt 0.3589 0.1411 0.0000  6 Cu 2.48-2.57, 2 Co 2.75
9 Pt 0.6411 0.8589 0.0000  6 Cu 2.48-2.57, 2 Co 2.75
10 Pt 0.8589 0.3589 0.0000  6 Cu 2.48-2.57, 2 Co 2.75

DOS at the Fermi energy = 1.263 states/eV/atom
distance to the lowest polymorph of the same formula = 0.013 eV per atom
spin magnetization = 4.620 Bohr magnetons per cell
space-group type = P4/mbm (127)
E_form = 0.21 eV per atom

***

# 9
A plane-wave DFT calculation with PBE was carried out for KSr2ZrN after structural relaxation.

a = 7.0455 Å, b = 7.0455 Å, c = 4.1735 Å
α = 90.00°, β = 90.00°, γ = 90.00°
With the nearest neighbours (Å) after each atom.
Sites, in units of the cell vectors:
1 K 0.0000 0.0000 0.0000  8 Sr 4.09, 2 K 4.17
2 Sr 0.0000 0.5000 0.5000  2 Zr 3.52
3 Sr 0.5000 0.0000 0.5000  2 Zr 3.52
4 Zr 0.5000 0.5000 0.5000  2 N 2.09
5 N 0.5000 0.5000 0.0000  2 Zr 2.09

formation energy from raw total energies = 2.037 eV per formula unit
DOS at the Fermi energy = 1.111 states/eV/atom
spin magnetization = 0.765 Bohr magnetons per cell
space-group type = P4/mmm (123)

***

# 10
A plane-wave DFT calculation with PBE was carried out for CaCd2Ag after structural relaxation.

a = 5.0075 Å, b = 5.0075 Å, c = 4.8748 Å
α = 103.01°, β = 103.01°, γ = 115.01°
With the nearest neighbours (Å) after each atom.
Sites, in units of the cell vectors:
1 Ca 0.0000 0.0000 0.0000  3 Ag 3.00-3.10, 4 Cd 3.16-3.30
2 Cd 0.4646 0.8109 0.3471  3 Cd 2.92-2.99, 3 Ag 2.97-3.27, 1 Ca 3.16
3 Cd 0.8109 0.4646 0.3471  3 Cd 2.92-2.99, 3 Ag 2.97-3.27, 1 Ca 3.16
4 Ag 0.3750 0.3750 0.6859  6 Cd 2.97-3.27, 3 Ca 3.00-3.10

DOS at the Fermi energy = 0.466 states/eV/atom
spin magnetization = 0.000 Bohr magnetons per cell
space-group type = Cm (8)
E_form = -0.15 eV per atom